1.
# Te4Pb5, optimized geometry, DFT PBE-GGA
data_Te4Pb5
_space_group_name_H-M_alt 'I 4/m m m'
_space_group_IT_number 139
_space_group_name_Hall '-I 4 2'
_cell_length_a 11.612
_cell_length_b 11.612
_cell_length_c 4.674
_cell_angle_alpha 90.00
_cell_angle_beta 90.00
_cell_angle_gamma 90.00
loop_
_atom_site_label
_atom_site_type_symbol
_atom_site_fract_x
_atom_site_fract_y
_atom_site_fract_z
_atom_site_occupancy
Te1 Te 0.000 0.283 0.000 1
Pb1 Pb 0.000 0.000 0.000 1
Pb2 Pb 0.167 0.167 0.500 1
# - formation energy from raw total energies (eV per atom) = -0.1421
# - ρ (g cm⁻³) = 8.150
# - excess energy over the best structure of this formula in the dataset (kcal/mol of atoms) = 1.15


2.
# Tb4Ag2Pb, optimized geometry, DFT PBE-GGA
data_Tb4Ag2Pb
_space_group_name_H-M_alt 'R -3 m'
_space_group_IT_number 166
_space_group_name_Hall '-R 3 2"'
_cell_length_a 5.2136
_cell_length_b 5.2136
_cell_length_c 24.6264
_cell_angle_alpha 90.00
_cell_angle_beta 90.00
_cell_angle_gamma 120.00
loop_
_atom_site_label
_atom_site_type_symbol
_atom_site_fract_x
_atom_site_fract_y
_atom_site_fract_z
_atom_site_occupancy
Tb1 Tb 0.0000 0.0000 0.1125 1
Tb2 Tb 0.0000 0.0000 0.3674 1
Ag1 Ag 0.0000 0.0000 0.2445 1
Pb1 Pb 0.0000 0.0000 0.5000 1
# - ρ (g cm⁻³) = 9.097
# - energy of formation (eV per atom) = -0.20


3.
# BaBi4Au, optimized geometry, DFT PBE-GGA
data_BaBi4Au
_space_group_name_H-M_alt 'P -1'
_space_group_IT_number 2
_space_group_name_Hall '-P 1'
_cell_length_a 5.993
_cell_length_b 6.917
_cell_length_c 10.397
_cell_angle_alpha 77.97
_cell_angle_beta 73.49
_cell_angle_gamma 89.77
loop_
_atom_site_label
_atom_site_type_symbol
_atom_site_fract_x
_atom_site_fract_y
_atom_site_fract_z
_atom_site_occupancy
Ba1 Ba 0.250 0.250 0.000 1
Bi1 Bi 0.068 0.174 0.367 1
Bi2 Bi 0.145 0.691 0.214 1
Bi3 Bi 0.356 0.809 0.786 1
Bi4 Bi 0.430 0.326 0.633 1
Au1 Au 0.000 0.500 0.500 1
Au2 Au 0.500 0.000 0.500 1
# - ρ (g cm⁻³) = 9.632
# - energy of formation (eV per atom) = -0.22


| no. | M_tot (μB per formula unit) |
| --- | --- |
| 1 | 0.00 |
| 2 | 0.03 |
| 3 | 0.00 |